# 1
Below is a relaxed structure of GaTe2WN, with properties calculated at the PBE level.

The structure in extended XYZ format:
```
5
Lattice="5.526 0.000 0.000 0.000 5.526 0.000 0.000 0.000 3.496" Properties=species:S:1:pos:R:3 pbc="T T T"
Ga 0.000 0.000 0.000
Te 0.000 2.763 0.000
Te 2.763 0.000 0.000
W 2.763 2.763 1.748
N 0.000 0.000 1.748
```

Output
- volume (A^3/atom) = 21.35
- space-group type = P4/mmm (123)
- raw total energy (eV per formula unit) = -24.1
- formation energy (no corrections) (eV/atom) = 1.291
- ΔE to the lowest computed polymorph (eV/f.u.) = 5.37
- D(E_F) (states/eV/cell) = 4.7

=====

# 2
Below is a relaxed structure of LiLu2Co, with properties calculated at the PBE level.

The structure in extended XYZ format:
```
4
Lattice="3.292 0.000 0.000 0.000 3.292 0.000 0.000 0.000 7.876" Properties=species:S:1:pos:R:3 pbc="T T T"
Li 0.000 0.000 0.000
Lu 1.646 1.646 2.377
Lu 1.646 1.646 5.499
Co 0.000 0.000 3.938
```

Output
- volume (A^3/atom) = 21.34
- space-group type = P4/mmm (123)
- raw total energy (eV per formula unit) = -18.6
- ΔE to the lowest computed polymorph (eV/f.u.) = 0.03
- D(E_F) (states/eV/cell) = 2.9

=====

# 3
Below is a relaxed structure of BaPm2Hg, with properties calculated at the PBE level.

The structure in extended XYZ format:
```
4
Lattice="1.890 1.091 12.125 -1.890 1.091 12.125 0.000 -2.183 12.125" Properties=species:S:1:pos:R:3 pbc="T T T"
Ba 0.000 0.000 0.000
Pm 0.000 0.000 3.718
Pm 0.000 0.000 32.657
Hg 0.000 0.000 18.188
```

Output
- volume (A^3/atom) = 37.52
- space-group type = R-3m (166)
- raw total energy (eV per formula unit) = -11.5
- ΔE to the lowest computed polymorph (eV/f.u.) = 0.68
- D(E_F) (states/eV/cell) = 5.3

=====

# 4
Below is a relaxed structure of AlIF2, with properties calculated at the PBE level.

The structure in extended XYZ format:
```
4
Lattice="0.000 3.207 3.207 3.207 0.000 3.207 3.207 3.207 0.000" Properties=species:S:1:pos:R:3 pbc="T T T"
Al 0.000 0.000 0.000
I 3.207 3.207 3.207
F 1.604 1.604 1.604
F 4.811 4.811 4.811
```

Output
- volume (A^3/atom) = 16.50
- space-group type = Fm-3m (225)
- raw total energy (eV per formula unit) = -11.6
- formation energy (no corrections) (eV/atom) = -0.652
- ΔE to the lowest computed polymorph (eV/f.u.) = 5.78
- D(E_F) (states/eV/cell) = 2.7

=====

# 5
Below is a relaxed structure of Sm4Tl3Hg, with properties calculated at the PBE level.

The structure in extended XYZ format:
```
8
Lattice="4.419 0.000 0.000 0.000 4.605 0.000 0.000 0.000 11.789" Properties=species:S:1:pos:R:3 pbc="T T T"
Sm 0.000 0.000 0.000
Sm 0.000 2.303 3.199
Sm 2.210 0.000 5.805
Sm 2.210 2.303 9.119
Tl 0.000 0.000 8.537
Tl 0.000 2.303 6.425
Tl 2.210 2.303 0.540
Hg 2.210 0.000 2.646
```

Output
- volume (A^3/atom) = 29.99
- space-group type = Pmm2 (25)
- raw total energy (eV per formula unit) = -29.1
- ΔE to the lowest computed polymorph (eV/f.u.) = 0.41
- D(E_F) (states/eV/cell) = 7.9

=====

# 6
Below is a relaxed structure of AcTlIn2, with properties calculated at the PBE level.

The structure in extended XYZ format:
```
4
Lattice="4.065 0.000 0.000 0.000 4.065 0.000 0.000 0.000 7.487" Properties=species:S:1:pos:R:3 pbc="T T T"
Ac 0.000 0.000 0.000
Tl 0.000 0.000 3.744
In 2.032 2.032 2.146
In 2.032 2.032 5.341
```

Output
- volume (A^3/atom) = 30.93
- space-group type = P4/mmm (123)
- raw total energy (eV per formula unit) = -12.9
- ΔE to the lowest computed polymorph (eV/f.u.) = 0.55
- D(E_F) (states/eV/cell) = 3.2

=====

# 7
Below is a relaxed structure of B, with properties calculated at the PBE level.

The structure in extended XYZ format:
```
2
Lattice="3.018 0.000 0.000 -1.509 2.614 0.000 0.000 0.000 1.921" Properties=species:S:1:pos:R:3 pbc="T T T"
B 0.000 1.743 0.000
B 1.509 0.871 0.000
```

Output
- volume (A^3/atom) = 7.58
- space-group type = P6/mmm (191)
- raw total energy (eV per formula unit) = -5.9
- ΔE to the lowest computed polymorph (eV/f.u.) = 0.73
- D(E_F) (states/eV/cell) = 0.3

=====

# 8
Below is a relaxed structure of CsGa5Pt2, with properties calculated at the PBE level.

The structure in extended XYZ format:
```
8
Lattice="-2.161 3.682 6.047 2.161 -3.682 6.047 2.161 3.682 -6.047" Properties=species:S:1:pos:R:3 pbc="T T T"
Cs 0.000 0.000 0.000
Ga 2.161 2.236 -2.287
Ga 2.161 2.236 2.287
Ga 0.000 3.682 0.000
Ga 0.000 1.446 3.759
Ga 0.000 1.446 8.334
Pt 2.161 0.000 3.646
Pt 0.000 3.682 2.401
```

Output
- volume (A^3/atom) = 24.06
- space-group type = Immm (71)
- raw total energy (eV per formula unit) = -31.4
- D(E_F) (states/eV/cell) = 3.8

=====

# 9
Below is a relaxed structure of HoPuGaCu, with properties calculated at the PBE level.

The structure in extended XYZ format:
```
4
Lattice="0.000 3.527 3.527 3.527 0.000 3.527 3.527 3.527 0.000" Properties=species:S:1:pos:R:3 pbc="T T T"
Ho 0.000 0.000 0.000
Pu 3.527 3.527 3.527
Ga 1.763 1.763 1.763
Cu 5.290 5.290 5.290
```

Output
- volume (A^3/atom) = 21.93
- space-group type = F-43m (216)
- raw total energy (eV per formula unit) = -26.9
- D(E_F) (states/eV/cell) = 7.5

=====

# 10
Below is a relaxed structure of BeAsPb2, with properties calculated at the PBE level.

The structure in extended XYZ format:
```
4
Lattice="4.918 0.000 0.000 0.000 4.918 0.000 0.000 0.000 3.943" Properties=species:S:1:pos:R:3 pbc="T T T"
Be 0.000 0.000 0.000
As 2.459 2.459 0.000
Pb 0.000 2.459 1.971
Pb 2.459 0.000 1.971
```

Output
- volume (A^3/atom) = 23.84
- space-group type = P4/mmm (123)
- raw total energy (eV per formula unit) = -13.7
- ΔE to the lowest computed polymorph (eV/f.u.) = 1.39
- D(E_F) (states/eV/cell) = 2.3

=====

# 11
Below is a relaxed structure of Zr2PtCl, with properties calculated at the PBE level.

The structure in extended XYZ format:
```
8
Lattice="-2.663 2.663 7.033 2.663 -2.663 7.033 2.663 2.663 -7.033" Properties=species:S:1:pos:R:3 pbc="T T T"
Zr 3.994 1.273 -1.758
Zr 1.273 1.331 1.758
Zr -1.331 1.390 5.275
Zr 1.390 1.331 8.791
Pt 2.663 0.000 3.516
Pt 0.000 0.000 7.033
Cl 0.000 0.000 0.000
Cl 0.000 2.663 3.516
```

Output
- volume (A^3/atom) = 24.94
- space-group type = I-42d (122)
- raw total energy (eV per formula unit) = -26.4
- formation energy (no corrections) (eV/atom) = -0.352
- ΔE to the lowest computed polymorph (eV/f.u.) = 2.13
- D(E_F) (states/eV/cell) = 7.6

=====

# 12
Below is a relaxed structure of Y4Er5In, with properties calculated at the PBE level.

The structure in extended XYZ format:
```
10
Lattice="-5.276 5.276 2.882 5.276 -5.276 2.882 5.276 5.276 -2.882" Properties=species:S:1:pos:R:3 pbc="T T T"
Y 3.315 0.000 0.000
Y 7.237 0.000 0.000
Y 0.000 3.315 0.000
Y 0.000 7.237 0.000
Er 3.325 3.325 0.006
Er 1.951 -1.951 2.888
Er -1.951 1.951 2.888
Er 1.951 1.951 2.888
Er 0.000 0.000 4.532
In 0.000 0.000 1.550
```

Output
- volume (A^3/atom) = 32.09
- space-group type = I4mm (107)
- raw total energy (eV per formula unit) = -50.4
- D(E_F) (states/eV/cell) = 14.2

=====

Number 7 is which compound?
B